No. 1
! Ni2BSbC GGA-PBE relaxed; values from VASP
! Uncorrected energy in eV/cell: -29.74
! Formation energy without anion corrections in eV/atom: 0.370
! Calculated volume in Å³ per atom: 11.89
! Space-group type: P4/mmm
&SYSTEM
  ibrav = 0, nat = 5, ntyp = 4
/
ATOMIC_SPECIES
Ni 58.69 Ni.upf
B 10.81 B.upf
Sb 121.76 Sb.upf
C 12.01 C.upf
CELL_PARAMETERS angstrom
4.5046 0.0000 0.0000
0.0000 4.5046 0.0000
0.0000 0.0000 2.9299
ATOMIC_POSITIONS angstrom
Ni 0.0000 2.2523 0.0000
Ni 2.2523 0.0000 0.0000
B 0.0000 0.0000 1.4650
Sb 2.2523 2.2523 1.4650
C 0.0000 0.0000 0.0000

No. 2
! ScNi2BC GGA-PBE relaxed; values from VASP
! Uncorrected energy in eV/cell: -31.99
! Calculated volume in Å³ per atom: 11.09
! Space-group type: P4/mmm
&SYSTEM
  ibrav = 0, nat = 5, ntyp = 4
/
ATOMIC_SPECIES
Sc 44.96 Sc.upf
Ni 58.69 Ni.upf
B 10.81 B.upf
C 12.01 C.upf
CELL_PARAMETERS angstrom
4.2147 0.0000 0.0000
0.0000 4.2147 0.0000
0.0000 0.0000 3.1208
ATOMIC_POSITIONS angstrom
Sc 0.0000 0.0000 0.0000
Ni 0.0000 2.1073 1.5604
Ni 2.1073 0.0000 1.5604
B 2.1073 2.1073 1.5604
C 2.1073 2.1073 0.0000

No. 3
! SiNiBC GGA-PBE relaxed; values from VASP
! Uncorrected energy in eV/cell: -26.12
! Formation energy without anion corrections in eV/atom: 0.247
! Calculated volume in Å³ per atom: 9.99
! Space-group type: P1
&SYSTEM
  ibrav = 0, nat = 4, ntyp = 4
/
ATOMIC_SPECIES
Si 28.09 Si.upf
Ni 58.69 Ni.upf
B 10.81 B.upf
C 12.01 C.upf
CELL_PARAMETERS angstrom
2.7613 0.0000 0.0000
-1.2942 3.6920 0.0000
-1.3285 -1.5819 3.9184
ATOMIC_POSITIONS angstrom
Si 0.0000 0.0000 0.0000
Ni 0.0779 -0.0366 2.9998
B -1.3107 2.0631 1.3018
C 0.0688 1.7847 1.9785

No. 4
! SiNiBC GGA-PBE relaxed; values from VASP
! Uncorrected energy in eV/cell: -53.46
! Formation energy without anion corrections in eV/atom: 0.094
! Calculated volume in Å³ per atom: 9.75
! Space-group type: Amm2
&SYSTEM
  ibrav = 0, nat = 8, ntyp = 4
/
ATOMIC_SPECIES
Si 28.09 Si.upf
Ni 58.69 Ni.upf
B 10.81 B.upf
C 12.01 C.upf
CELL_PARAMETERS angstrom
3.0019 0.0000 0.0000
0.0000 2.7233 0.0000
0.0000 0.0000 9.5447
ATOMIC_POSITIONS angstrom
Si 0.0000 0.0000 0.0000
Si 0.0000 1.3617 4.7723
Ni 0.0000 0.0000 6.5702
Ni 0.0000 1.3617 1.7979
B 1.5010 0.0000 2.7684
B 1.5010 1.3617 7.5408
C 1.5010 0.0000 8.3179
C 1.5010 1.3617 3.5456

No. 5
! SiNiBC GGA-PBE relaxed; values from VASP
! Uncorrected energy in eV/cell: -51.93
! Formation energy without anion corrections in eV/atom: 0.285
! Calculated volume in Å³ per atom: 10.84
! Space-group type: Cm
&SYSTEM
  ibrav = 0, nat = 8, ntyp = 4
/
ATOMIC_SPECIES
Si 28.09 Si.upf
Ni 58.69 Ni.upf
B 10.81 B.upf
C 12.01 C.upf
CELL_PARAMETERS angstrom
9.2963 0.0000 0.0000
0.0000 2.7639 0.0000
-0.6917 0.0000 3.3765
ATOMIC_POSITIONS angstrom
Si 0.0000 0.0000 0.0000
Si 4.6482 1.3819 0.0000
Ni 0.4495 1.3819 1.8121
Ni 5.0977 0.0000 1.8121
B 2.9501 0.0000 1.8550
B 7.5983 1.3819 1.8550
C 2.4006 1.3819 2.1406
C 7.0487 0.0000 2.1406

No. 6
! SiNiBC GGA-PBE relaxed; values from VASP
! Uncorrected energy in eV/cell: -52.26
! Formation energy without anion corrections in eV/atom: 0.244
! Calculated volume in Å³ per atom: 10.35
! Space-group type: Cm
&SYSTEM
  ibrav = 0, nat = 8, ntyp = 4
/
ATOMIC_SPECIES
Si 28.09 Si.upf
Ni 58.69 Ni.upf
B 10.81 B.upf
C 12.01 C.upf
CELL_PARAMETERS angstrom
5.2639 0.0000 0.0000
0.0000 2.9368 0.0000
-0.6348 0.0000 5.3560
ATOMIC_POSITIONS angstrom
Si 0.0000 0.0000 0.0000
Si 2.6319 1.4684 0.0000
Ni 1.7842 0.0000 3.3149
Ni 4.4161 1.4684 3.3149
B 0.8548 1.4684 2.2339
B 3.4867 0.0000 2.2339
C 0.9067 1.4684 0.6864
C 3.5386 0.0000 0.6864

No. 7
! SiNiBC GGA-PBE relaxed; values from VASP
! Uncorrected energy in eV/cell: -52.47
! Formation energy without anion corrections in eV/atom: 0.218
! Calculated volume in Å³ per atom: 11.41
! Space-group type: Cm
&SYSTEM
  ibrav = 0, nat = 8, ntyp = 4
/
ATOMIC_SPECIES
Si 28.09 Si.upf
Ni 58.69 Ni.upf
B 10.81 B.upf
C 12.01 C.upf
CELL_PARAMETERS angstrom
8.0354 0.0000 0.0000
0.0000 2.7633 0.0000
-0.7103 0.0000 4.1110
ATOMIC_POSITIONS angstrom
Si 0.0000 0.0000 0.0000
Si 4.0177 1.3816 0.0000
Ni 1.7364 1.3816 0.5189
Ni 5.7541 0.0000 0.5189
B 1.9953 0.0000 2.0886
B 6.0130 1.3816 2.0886
C 2.0957 1.3816 2.6811
C 6.1134 0.0000 2.6811

No. 8
! SiNiBC GGA-PBE relaxed; values from VASP
! Uncorrected energy in eV/cell: -51.81
! Formation energy without anion corrections in eV/atom: 0.300
! Calculated volume in Å³ per atom: 11.01
! Space-group type: Cm
&SYSTEM
  ibrav = 0, nat = 8, ntyp = 4
/
ATOMIC_SPECIES
Si 28.09 Si.upf
Ni 58.69 Ni.upf
B 10.81 B.upf
C 12.01 C.upf
CELL_PARAMETERS angstrom
6.7355 0.0000 0.0000
0.0000 3.3745 0.0000
-1.1720 0.0000 3.8762
ATOMIC_POSITIONS angstrom
Si 0.0000 0.0000 0.0000
Si 3.3678 1.6873 0.0000
Ni 0.1064 1.6873 2.8369
Ni 3.4742 0.0000 2.8369
B 1.4294 0.0000 2.8110
B 4.7972 1.6873 2.8110
C 0.3424 0.0000 1.7777
C 3.7101 1.6873 1.7777

No. 9
! SiNiBC GGA-PBE relaxed; values from VASP
! Uncorrected energy in eV/cell: -53.49
! Formation energy without anion corrections in eV/atom: 0.090
! Calculated volume in Å³ per atom: 10.22
! Space-group type: Amm2
&SYSTEM
  ibrav = 0, nat = 8, ntyp = 4
/
ATOMIC_SPECIES
Si 28.09 Si.upf
Ni 58.69 Ni.upf
B 10.81 B.upf
C 12.01 C.upf
CELL_PARAMETERS angstrom
3.1626 0.0000 0.0000
0.0000 2.7239 0.0000
0.0000 0.0000 9.4866
ATOMIC_POSITIONS angstrom
Si 0.0000 0.0000 0.0000
Si 0.0000 1.3619 4.7433
Ni 1.5813 0.0000 5.9583
Ni 1.5813 1.3619 1.2150
B 0.0000 0.0000 2.2252
B 0.0000 1.3619 6.9685
C 0.0000 0.0000 7.6065
C 0.0000 1.3619 2.8632

No. 10
! SiNiBC GGA-PBE relaxed; values from VASP
! Uncorrected energy in eV/cell: -52.30
! Formation energy without anion corrections in eV/atom: 0.240
! Calculated volume in Å³ per atom: 10.22
! Space-group type: Cm
&SYSTEM
  ibrav = 0, nat = 8, ntyp = 4
/
ATOMIC_SPECIES
Si 28.09 Si.upf
Ni 58.69 Ni.upf
B 10.81 B.upf
C 12.01 C.upf
CELL_PARAMETERS angstrom
6.9408 0.0000 0.0000
0.0000 3.0235 0.0000
-1.9308 0.0000 3.8964
ATOMIC_POSITIONS angstrom
Si 0.0000 0.0000 0.0000
Si 3.4704 1.5118 0.0000
Ni -0.3712 1.5118 2.5198
Ni 3.0993 0.0000 2.5198
B 1.7242 1.5118 1.8856
B 5.1946 0.0000 1.8856
C 0.7665 1.5118 0.7031
C 4.2369 0.0000 0.7031

No. 11
! SiNiBC GGA-PBE relaxed; values from VASP
! Uncorrected energy in eV/cell: -76.80
! Formation energy without anion corrections in eV/atom: 0.377
! Calculated volume in Å³ per atom: 11.08
! Space-group type: R3m
&SYSTEM
  ibrav = 0, nat = 12, ntyp = 4
/
ATOMIC_SPECIES
Si 28.09 Si.upf
Ni 58.69 Ni.upf
B 10.81 B.upf
C 12.01 C.upf
CELL_PARAMETERS angstrom
3.0797 0.0000 0.0000
-1.5398 2.6671 0.0000
0.0000 0.0000 16.1803
ATOMIC_POSITIONS angstrom
Si 0.0000 0.0000 0.0000
Si 0.0000 1.7781 10.7869
Si 1.5398 0.8890 5.3934
Ni 0.0000 0.0000 8.3075
Ni 0.0000 1.7781 2.9140
Ni 1.5398 0.8890 13.7009
B 0.0000 0.0000 2.1064
B 0.0000 1.7781 12.8933
B 1.5398 0.8890 7.4999
C 0.0000 0.0000 10.2929
C 0.0000 1.7781 4.8995
C 1.5398 0.8890 15.6863

No. 12
! SiNiBC GGA-PBE relaxed; values from VASP
! Uncorrected energy in eV/cell: -78.84
! Formation energy without anion corrections in eV/atom: 0.207
! Calculated volume in Å³ per atom: 10.13
! Space-group type: R3m
&SYSTEM
  ibrav = 0, nat = 12, ntyp = 4
/
ATOMIC_SPECIES
Si 28.09 Si.upf
Ni 58.69 Ni.upf
B 10.81 B.upf
C 12.01 C.upf
CELL_PARAMETERS angstrom
3.1257 0.0000 0.0000
-1.5629 2.7070 0.0000
0.0000 0.0000 14.3624
ATOMIC_POSITIONS angstrom
Si 0.0000 0.0000 0.0000
Si 0.0000 1.8046 9.5749
Si 1.5629 0.9023 4.7875
Ni 0.0000 0.0000 12.0794
Ni 0.0000 1.8046 7.2919
Ni 1.5629 0.9023 2.5045
B 0.0000 0.0000 8.1707
B 0.0000 1.8046 3.3832
B 1.5629 0.9023 12.9581
C 0.0000 0.0000 9.9472
C 0.0000 1.8046 5.1597
C 1.5629 0.9023 0.3722